1.
Here is a geometry-optimized AcSnGe2 structure from Alexandria via LeMat-Bulk. Energies are from PBE.

The energy of formation from the pure elements comes out at -0.40 eV/atom. The value obtained for the offset from the most stable computed form is 0.000 eV/atom.

It has space group Pnma (No. 62), with a = 6.909 Å, b = 4.957 Å, c = 12.438 Å, α = 90.00°, β = 90.00° and γ = 90.00°. The asymmetric unit holds Ac at (0.152, 0.250, 0.143), Sn at (0.148, 0.250, 0.444), Ge at (0.034, 0.250, 0.682) and Ge at (0.169, 0.250, 0.875).

=====

2.
Here is a geometry-optimized Tl2Mo9S11 structure from Alexandria via LeMat-Bulk. Energies are from PBE.

For the raw formation energy, the calculation gives -0.649 eV per atom.

It has space group R-3c (No. 167, hexagonal axes), with a = 9.4421 Å, b = 9.4421 Å, c = 35.6503 Å, α = 90.00°, β = 90.00° and γ = 120.00°. The asymmetric unit holds Tl at (0.0000, 0.0000, 0.0520), Mo at (0.0000, 0.1667, 0.2500), Mo at (0.0100, 0.1689, 0.8138), S at (0.0000, 0.0000, 0.1345), S at (0.0000, 0.3028, 0.7500) and S at (0.0209, 0.3778, 0.8584).

=====

3.
Here is a geometry-optimized DyZrNiRh structure from Alexandria via LeMat-Bulk. Energies are from PBE.

The energy of formation from the pure elements comes out at -0.54 eV/atom.

It has space group F-43m (No. 216), with a = 6.675 Å, b = 6.675 Å, c = 6.675 Å, α = 90.00°, β = 90.00° and γ = 90.00°. The asymmetric unit holds Dy at (0.000, 0.000, 0.000), Zr at (0.000, 0.000, 0.500), Ni at (0.250, 0.250, 0.750) and Rh at (0.250, 0.250, 0.250).

=====

4.
Here is a geometry-optimized Pr3YHo4 structure from Alexandria via LeMat-Bulk. Energies are from PBE.

The energy of formation from the pure elements comes out at 0.02 eV/atom. The value obtained for the offset from the most stable computed form is 0.004 eV/atom.

It has space group Pmn2_1 (No. 31), with a = 11.531 Å, b = 7.353 Å, c = 6.317 Å, α = 90.00°, β = 90.00° and γ = 90.00°. The asymmetric unit holds Pr at (0.000, 0.129, 0.000), Pr at (0.250, 0.128, 0.337), Y at (0.000, 0.869, 0.498), Ho at (0.000, 0.378, 0.500), Ho at (0.000, 0.620, 0.001) and Ho at (0.248, 0.620, 0.333).

=====

5.
Here is a geometry-optimized YZnFe structure from Alexandria via LeMat-Bulk. Energies are from PBE.

The energy of formation from the pure elements comes out at 0.30 eV/atom.

It has space group F-43m (No. 216), with a = 6.292 Å, b = 6.292 Å, c = 6.292 Å, α = 90.00°, β = 90.00° and γ = 90.00°. The asymmetric unit holds Y at (0.000, 0.000, 0.000), Zn at (0.000, 0.000, 0.500) and Fe at (0.250, 0.250, 0.750).

=====

6.
Here is a geometry-optimized Zn2GeAs2 structure from Alexandria via LeMat-Bulk. Energies are from PBE.

The energy of formation from the pure elements comes out at 0.19 eV/atom. The value obtained for the offset from the most stable computed form is 0.017 eV/atom.

It has space group P4/mbm (No. 127), with a = 7.724 Å, b = 7.724 Å, c = 3.147 Å, α = 90.00°, β = 90.00° and γ = 90.00°. The asymmetric unit holds Zn at (0.122, 0.378, 0.000), Ge at (0.000, 0.000, 0.500) and As at (0.182, 0.682, 0.500).

=====

7.
Here is a geometry-optimized LaTiAs3 structure from Alexandria via LeMat-Bulk. Energies are from PBE.

The energy of formation from the pure elements comes out at 0.81 eV/atom. The value obtained for the offset from the most stable computed form is 1.504 eV/atom.

It has space group Pm-3m (No. 221), with a = 5.495 Å, b = 5.495 Å, c = 5.495 Å, α = 90.00°, β = 90.00° and γ = 90.00°. The asymmetric unit holds La at (0.000, 0.000, 0.000), Ti at (0.500, 0.500, 0.500) and As at (0.000, 0.000, 0.500).

=====

8.
Here is a geometry-optimized VCuTe2 structure from Alexandria via LeMat-Bulk. Energies are from PBE.

For the raw formation energy, the calculation gives -0.003 eV per atom.

It has space group R-3m (No. 166, hexagonal axes), with a = 3.6000 Å, b = 3.6000 Å, c = 21.7720 Å, α = 90.00°, β = 90.00° and γ = 120.00°. The asymmetric unit holds V at (0.0000, 0.0000, 0.0000), Cu at (0.0000, 0.0000, 0.5000) and Te at (0.0000, 0.0000, 0.2521).

=====

9.
Here is a geometry-optimized Sr2Cl structure from Alexandria via LeMat-Bulk. Energies are from PBE.

The value obtained for the offset from the most stable computed form is 0.132 eV/atom. For the raw formation energy, the calculation gives -0.966 eV per atom.

It has space group I4/mcm (No. 140), with a = 7.984 Å, b = 7.984 Å, c = 6.999 Å, α = 90.00°, β = 90.00° and γ = 90.00°. The asymmetric unit holds Sr at (0.168, 0.332, 0.000) and Cl at (0.000, 0.000, 0.250).

=====

10.
Here is a geometry-optimized Np2CuAgO8 structure from Alexandria via LeMat-Bulk. Energies are from PBE.

For the raw formation energy, the calculation gives -1.912 eV per atom.

It has space group Cmmm (No. 65), with a = 6.668 Å, b = 6.991 Å, c = 7.041 Å, α = 90.00°, β = 90.00° and γ = 90.00°. The asymmetric unit holds Np at (0.000, 0.000, 0.246), Cu at (0.000, 0.500, 0.000), Ag at (0.000, 0.500, 0.500), O at (0.000, 0.268, 0.235), O at (0.182, 0.000, 0.500) and O at (0.199, 0.000, 0.000).

=====

11.
Here is a geometry-optimized Mn2AlCo structure from Alexandria via LeMat-Bulk. Energies are from PBE.

The energy of formation from the pure elements comes out at -0.20 eV/atom. The value obtained for the offset from the most stable computed form is 0.061 eV/atom.

It has space group Pmmm (No. 47), with a = 2.912 Å, b = 3.987 Å, c = 4.089 Å, α = 90.00°, β = 90.00° and γ = 90.00°. The asymmetric unit holds Mn at (0.000, 0.000, 0.000), Mn at (0.500, 0.500, 0.000), Al at (0.000, 0.500, 0.500) and Co at (0.500, 0.000, 0.500).

=====

12.
Here is a geometry-optimized Tl3IrCl6 structure from Alexandria via LeMat-Bulk. Energies are from PBE.

The value obtained for the offset from the most stable computed form is 0.000 eV/atom. For the raw formation energy, the calculation gives -0.807 eV per atom.

It has space group P2_1/c (No. 14), with a = 7.103 Å, b = 7.966 Å, c = 12.584 Å, α = 90.00°, β = 122.88° and γ = 90.00°. The asymmetric unit holds Tl at (0.000, 0.000, 0.000), Tl at (0.216, 0.065, 0.743), Ir at (0.500, 0.000, 0.500), Cl at (0.192, 0.157, 0.472), Cl at (0.280, 0.749, 0.938) and Cl at (0.382, 0.050, 0.287).

=====

13.
Here is a geometry-optimized Tl2InRe structure from Alexandria via LeMat-Bulk. Energies are from PBE.

The energy of formation from the pure elements comes out at 0.67 eV/atom. The value obtained for the offset from the most stable computed form is 0.108 eV/atom.

It has space group Cmm2 (No. 35), with a = 3.350 Å, b = 5.101 Å, c = 11.015 Å, α = 90.00°, β = 90.00° and γ = 90.00°. The asymmetric unit holds Tl at (0.000, 0.000, 0.000), Tl at (0.000, 0.500, 0.301), In at (0.000, 0.500, 0.728) and Re at (0.000, 0.000, 0.523).

=====

14.
Here is a geometry-optimized BeZn3Cu3 structure from Alexandria via LeMat-Bulk. Energies are from PBE.

The energy of formation from the pure elements comes out at 0.02 eV/atom.

It has space group P6_3/mmc (No. 194), with a = 7.4822 Å, b = 7.4822 Å, c = 3.7626 Å, α = 90.00°, β = 90.00° and γ = 120.00°. The asymmetric unit holds Be at (0.3333, 0.6667, 0.2500), Zn at (0.1496, 0.2991, 0.2500) and Cu at (0.1136, 0.5568, 0.7500).

=====

15.
Here is a geometry-optimized SrLi2CaAg structure from Alexandria via LeMat-Bulk. Energies are from PBE.

The energy of formation from the pure elements comes out at 0.03 eV/atom. The value obtained for the offset from the most stable computed form is 0.125 eV/atom.

It has space group P4/mmm (No. 123), with a = 5.343 Å, b = 5.343 Å, c = 5.676 Å, α = 90.00°, β = 90.00° and γ = 90.00°. The asymmetric unit holds Sr at (0.000, 0.000, 0.000), Li at (0.000, 0.500, 0.500), Ca at (0.500, 0.500, 0.000) and Ag at (0.500, 0.500, 0.500).

=====

16.
Here is a geometry-optimized MgPaCu10 structure from Alexandria via LeMat-Bulk. Energies are from PBE.

The energy of formation from the pure elements comes out at -0.02 eV/atom.

It has space group Pmmm (No. 47), with a = 4.105 Å, b = 4.977 Å, c = 8.509 Å, α = 90.00°, β = 90.00° and γ = 90.00°. The asymmetric unit holds Mg at (0.000, 0.000, 0.000), Pa at (0.000, 0.500, 0.500), Cu at (0.000, 0.000, 0.323), Cu at (0.000, 0.500, 0.159), Cu at (0.500, 0.000, 0.500), Cu at (0.500, 0.254, 0.252) and Cu at (0.500, 0.500, 0.000).

=====

17.
Here is a geometry-optimized La4Pr3SmSe8 structure from Alexandria via LeMat-Bulk. Energies are from PBE.

For the raw formation energy, the calculation gives -1.921 eV per atom.

It has space group R-3m (No. 166, hexagonal axes), with a = 8.5681 Å, b = 8.5681 Å, c = 20.9088 Å, α = 90.00°, β = 90.00° and γ = 120.00°. The asymmetric unit holds La at (0.0000, 0.0000, 0.0000), La at (0.0000, 0.5000, 0.0000), Pr at (0.0000, 0.5000, 0.5000), Sm at (0.0000, 0.0000, 0.5000), Se at (0.0000, 0.0000, 0.2495) and Se at (0.0039, 0.5019, 0.2485).

=====

18.
Here is a geometry-optimized Ho2AsBr3 structure from Alexandria via LeMat-Bulk. Energies are from PBE.

For the raw formation energy, the calculation gives -1.590 eV per atom.

It has space group C2/m (No. 12), with a = 17.272 Å, b = 4.288 Å, c = 12.810 Å, α = 90.00°, β = 125.15° and γ = 90.00°. The asymmetric unit holds Ho at (0.105, 0.000, 0.455), Ho at (0.135, 0.500, 0.825), As at (0.094, 0.000, 0.666), Br at (0.056, 0.500, 0.260), Br at (0.162, 0.000, 0.014) and Br at (0.237, 0.500, 0.602).

=====

The records above give, respectively, V values of 426.0 2752.5 297.4 535.6 249.1 187.7 165.9 244.4 446.1 328.2 47.5 598.0 188.3 182.4 162.0 173.8 1329.3 775.6 Å³/cell.